(1)
BeMo | PBE | relaxed

Structure (CIF):
```
data_BeMo
_chemical_formula_sum 'Be6 Mo6'
_cell_length_a 8.538
_cell_length_b 8.538
_cell_length_c 2.545
_cell_angle_alpha 90.00
_cell_angle_beta 90.00
_cell_angle_gamma 120.00
_symmetry_space_group_name_H-M 'P 1'
_symmetry_Int_Tables_number 1
loop_
_symmetry_equiv_pos_as_xyz
'x,y,z'
loop_
_atom_site_label
_atom_site_type_symbol
_atom_site_fract_x
_atom_site_fract_y
_atom_site_fract_z
Be1 Be 0.030 0.230 0.250
Be2 Be 0.200 0.970 0.250
Be3 Be 0.230 0.200 0.750
Be4 Be 0.770 0.800 0.250
Be5 Be 0.800 0.030 0.750
Be6 Be 0.970 0.770 0.750
Mo1 Mo 0.141 0.646 0.250
Mo2 Mo 0.354 0.495 0.250
Mo3 Mo 0.495 0.141 0.750
Mo4 Mo 0.505 0.859 0.250
Mo5 Mo 0.646 0.505 0.750
Mo6 Mo 0.859 0.354 0.750
```

Crystal system: hexagonal
DOS(E_F) (states/eV/cell): 7.95
Space-group type: No. 176
Energy relative to the lowest polymorph listed for this composition (meV/atom): 763.8

=====

(2)
BeMo | PBE | relaxed

Structure (CIF):
```
data_BeMo
_chemical_formula_sum 'Be3 Mo3'
_cell_length_a 4.697
_cell_length_b 4.697
_cell_length_c 6.958
_cell_angle_alpha 111.69
_cell_angle_beta 111.69
_cell_angle_gamma 31.94
_symmetry_space_group_name_H-M 'P 1'
_symmetry_Int_Tables_number 1
loop_
_symmetry_equiv_pos_as_xyz
'x,y,z'
loop_
_atom_site_label
_atom_site_type_symbol
_atom_site_fract_x
_atom_site_fract_y
_atom_site_fract_z
Be1 Be 0.000 0.000 0.000
Be2 Be 0.054 0.054 0.493
Be3 Be 0.642 0.642 0.300
Mo1 Mo 0.345 0.345 0.205
Mo2 Mo 0.362 0.362 0.623
Mo3 Mo 0.678 0.678 0.828
```

Crystal system: monoclinic
DOS(E_F) (states/eV/cell): 2.67
Space-group type: No. 8
Energy relative to the lowest polymorph listed for this composition (meV/atom): 369.2

=====

(3)
Be3Mo5 | PBE | relaxed

Structure (CIF):
```
data_Be3Mo5
_chemical_formula_sum 'Be6 Mo10'
_cell_length_a 7.009
_cell_length_b 7.009
_cell_length_c 4.907
_cell_angle_alpha 90.00
_cell_angle_beta 90.00
_cell_angle_gamma 120.00
_symmetry_space_group_name_H-M 'P 1'
_symmetry_Int_Tables_number 1
loop_
_symmetry_equiv_pos_as_xyz
'x,y,z'
loop_
_atom_site_label
_atom_site_type_symbol
_atom_site_fract_x
_atom_site_fract_y
_atom_site_fract_z
Be1 Be 0.000 0.398 0.250
Be2 Be 0.000 0.602 0.750
Be3 Be 0.398 0.000 0.250
Be4 Be 0.398 0.398 0.750
Be5 Be 0.602 0.000 0.750
Be6 Be 0.602 0.602 0.250
Mo1 Mo 0.000 0.243 0.750
Mo2 Mo 0.000 0.757 0.250
Mo3 Mo 0.243 0.000 0.750
Mo4 Mo 0.243 0.243 0.250
Mo5 Mo 0.333 0.667 0.000
Mo6 Mo 0.333 0.667 0.500
Mo7 Mo 0.667 0.333 0.000
Mo8 Mo 0.667 0.333 0.500
Mo9 Mo 0.757 0.000 0.250
Mo10 Mo 0.757 0.757 0.750
```

Crystal system: hexagonal
DOS(E_F) (states/eV/cell): 14.38
Space-group type: No. 193

=====

(4)
Be2Mo | PBE | relaxed

Structure (CIF):
```
data_Be2Mo
_chemical_formula_sum 'Be2 Mo1'
_cell_length_a 3.408
_cell_length_b 3.408
_cell_length_c 3.100
_cell_angle_alpha 90.00
_cell_angle_beta 90.00
_cell_angle_gamma 120.00
_symmetry_space_group_name_H-M 'P 1'
_symmetry_Int_Tables_number 1
loop_
_symmetry_equiv_pos_as_xyz
'x,y,z'
loop_
_atom_site_label
_atom_site_type_symbol
_atom_site_fract_x
_atom_site_fract_y
_atom_site_fract_z
Be1 Be 0.333 0.667 0.000
Be2 Be 0.667 0.333 0.000
Mo1 Mo 0.000 0.000 0.500
```

Crystal system: hexagonal
DOS(E_F) (states/eV/cell): 0.86
Space-group type: No. 191
Energy relative to the lowest polymorph listed for this composition (meV/atom): 146.1

=====

(5)
BeMo2 | PBE | relaxed

Structure (CIF):
```
data_BeMo2
_chemical_formula_sum 'Be1 Mo2'
_cell_length_a 3.082
_cell_length_b 3.082
_cell_length_c 5.038
_cell_angle_alpha 90.00
_cell_angle_beta 90.00
_cell_angle_gamma 120.00
_symmetry_space_group_name_H-M 'P 1'
_symmetry_Int_Tables_number 1
loop_
_symmetry_equiv_pos_as_xyz
'x,y,z'
loop_
_atom_site_label
_atom_site_type_symbol
_atom_site_fract_x
_atom_site_fract_y
_atom_site_fract_z
Be1 Be 0.000 0.000 0.000
Mo1 Mo 0.333 0.667 0.306
Mo2 Mo 0.667 0.333 0.694
```

Crystal system: trigonal
DOS(E_F) (states/eV/cell): 1.41
Space-group type: No. 164
Energy relative to the lowest polymorph listed for this composition (meV/atom): 430.2

=====

(6)
Be5Mo | PBE | relaxed

Structure (CIF):
```
data_Be5Mo
_chemical_formula_sum 'Be5 Mo1'
_cell_length_a 4.318
_cell_length_b 4.318
_cell_length_c 3.359
_cell_angle_alpha 90.00
_cell_angle_beta 90.00
_cell_angle_gamma 120.00
_symmetry_space_group_name_H-M 'P 1'
_symmetry_Int_Tables_number 1
loop_
_symmetry_equiv_pos_as_xyz
'x,y,z'
loop_
_atom_site_label
_atom_site_type_symbol
_atom_site_fract_x
_atom_site_fract_y
_atom_site_fract_z
Be1 Be 0.000 0.500 0.000
Be2 Be 0.333 0.667 0.500
Be3 Be 0.500 0.000 0.000
Be4 Be 0.500 0.500 0.000
Be5 Be 0.667 0.333 0.500
Mo1 Mo 0.000 0.000 0.500
```

Crystal system: hexagonal
DOS(E_F) (states/eV/cell): 2.10
Space-group type: No. 191
Energy relative to the lowest polymorph listed for this composition (meV/atom): 0.0

=====

(7)
BeMo | PBE | relaxed

Structure (CIF):
```
data_BeMo
_chemical_formula_sum 'Be2 Mo2'
_cell_length_a 4.734
_cell_length_b 4.734
_cell_length_c 4.734
_cell_angle_alpha 136.49
_cell_angle_beta 136.49
_cell_angle_gamma 63.22
_symmetry_space_group_name_H-M 'P 1'
_symmetry_Int_Tables_number 1
loop_
_symmetry_equiv_pos_as_xyz
'x,y,z'
loop_
_atom_site_label
_atom_site_type_symbol
_atom_site_fract_x
_atom_site_fract_y
_atom_site_fract_z
Be1 Be 0.375 0.625 0.750
Be2 Be 0.625 0.375 0.250
Mo1 Mo 0.125 0.875 0.250
Mo2 Mo 0.875 0.125 0.750
```

Crystal system: tetragonal
DOS(E_F) (states/eV/cell): 2.27
Space-group type: No. 141
Energy relative to the lowest polymorph listed for this composition (meV/atom): 299.4

=====

(8)
BeMo2 | PBE | relaxed

Structure (CIF):
```
data_BeMo2
_chemical_formula_sum 'Be2 Mo4'
_cell_length_a 4.974
_cell_length_b 5.526
_cell_length_c 3.049
_cell_angle_alpha 90.00
_cell_angle_beta 90.00
_cell_angle_gamma 90.00
_symmetry_space_group_name_H-M 'P 1'
_symmetry_Int_Tables_number 1
loop_
_symmetry_equiv_pos_as_xyz
'x,y,z'
loop_
_atom_site_label
_atom_site_type_symbol
_atom_site_fract_x
_atom_site_fract_y
_atom_site_fract_z
Be1 Be 0.000 0.000 0.000
Be2 Be 0.500 0.500 0.500
Mo1 Mo 0.211 0.356 0.000
Mo2 Mo 0.289 0.856 0.500
Mo3 Mo 0.711 0.144 0.500
Mo4 Mo 0.789 0.644 0.000
```

Crystal system: orthorhombic
DOS(E_F) (states/eV/cell): 4.18
Space-group type: No. 58
Energy relative to the lowest polymorph listed for this composition (meV/atom): 645.3

=====

(9)
BeMo | PBE | relaxed

Structure (CIF):
```
data_BeMo
_chemical_formula_sum 'Be3 Mo3'
_cell_length_a 4.700
_cell_length_b 4.700
_cell_length_c 6.879
_cell_angle_alpha 113.21
_cell_angle_beta 113.21
_cell_angle_gamma 32.56
_symmetry_space_group_name_H-M 'P 1'
_symmetry_Int_Tables_number 1
loop_
_symmetry_equiv_pos_as_xyz
'x,y,z'
loop_
_atom_site_label
_atom_site_type_symbol
_atom_site_fract_x
_atom_site_fract_y
_atom_site_fract_z
Be1 Be 0.000 0.000 0.000
Be2 Be 0.353 0.353 0.126
Be3 Be 0.647 0.647 0.874
Mo1 Mo 0.000 0.000 0.500
Mo2 Mo 0.316 0.316 0.712
Mo3 Mo 0.684 0.684 0.288
```

Crystal system: monoclinic
DOS(E_F) (states/eV/cell): 2.31
Space-group type: No. 12
Energy relative to the lowest polymorph listed for this composition (meV/atom): 377.5

=====

(10)
BeMo2 | PBE | relaxed

Structure (CIF):
```
data_BeMo2
_chemical_formula_sum 'Be2 Mo4'
_cell_length_a 5.048
_cell_length_b 5.048
_cell_length_c 6.878
_cell_angle_alpha 108.48
_cell_angle_beta 108.48
_cell_angle_gamma 29.88
_symmetry_space_group_name_H-M 'P 1'
_symmetry_Int_Tables_number 1
loop_
_symmetry_equiv_pos_as_xyz
'x,y,z'
loop_
_atom_site_label
_atom_site_type_symbol
_atom_site_fract_x
_atom_site_fract_y
_atom_site_fract_z
Be1 Be 0.050 0.050 0.287
Be2 Be 0.950 0.950 0.713
Mo1 Mo 0.341 0.341 0.382
Mo2 Mo 0.370 0.370 0.987
Mo3 Mo 0.630 0.630 0.013
Mo4 Mo 0.659 0.659 0.618
```

Crystal system: monoclinic
DOS(E_F) (states/eV/cell): 3.06
Space-group type: No. 12
Energy relative to the lowest polymorph listed for this composition (meV/atom): 336.4

=====

(11)
BeMo | PBE | relaxed

Structure (CIF):
```
data_BeMo
_chemical_formula_sum 'Be2 Mo2'
_cell_length_a 3.166
_cell_length_b 3.166
_cell_length_c 5.129
_cell_angle_alpha 90.00
_cell_angle_beta 90.00
_cell_angle_gamma 90.00
_symmetry_space_group_name_H-M 'P 1'
_symmetry_Int_Tables_number 1
loop_
_symmetry_equiv_pos_as_xyz
'x,y,z'
loop_
_atom_site_label
_atom_site_type_symbol
_atom_site_fract_x
_atom_site_fract_y
_atom_site_fract_z
Be1 Be 0.250 0.250 0.131
Be2 Be 0.750 0.750 0.869
Mo1 Mo 0.250 0.250 0.634
Mo2 Mo 0.750 0.750 0.366
```

Crystal system: tetragonal
DOS(E_F) (states/eV/cell): 1.55
Space-group type: No. 129
Energy relative to the lowest polymorph listed for this composition (meV/atom): 462.0

=====

(12)
BeMo2 | PBE | relaxed

Structure (CIF):
```
data_BeMo2
_chemical_formula_sum 'Be1 Mo2'
_cell_length_a 4.318
_cell_length_b 4.318
_cell_length_c 2.632
_cell_angle_alpha 90.00
_cell_angle_beta 90.00
_cell_angle_gamma 120.00
_symmetry_space_group_name_H-M 'P 1'
_symmetry_Int_Tables_number 1
loop_
_symmetry_equiv_pos_as_xyz
'x,y,z'
loop_
_atom_site_label
_atom_site_type_symbol
_atom_site_fract_x
_atom_site_fract_y
_atom_site_fract_z
Be1 Be 0.000 0.000 0.000
Mo1 Mo 0.333 0.667 0.355
Mo2 Mo 0.667 0.333 0.645
```

Crystal system: trigonal
DOS(E_F) (states/eV/cell): 1.60
Space-group type: No. 164
Energy relative to the lowest polymorph listed for this composition (meV/atom): 245.5

=====

Quick rundown of energy relative to the elements, same order as above: 0.53, 0.13, 0.01, -0.19, 0.31, -0.15, 0.06, 0.52, 0.14, 0.21, 0.23, 0.12 eV per atom
Quick rundown of VASP energy, same order as above: -6.75, -7.15, -8.16, -6.28, -8.16, -5.06, -7.22, -7.94, -7.14, -8.25, -7.05, -8.34 eV/atom